No. 1
{"formula": "La3DySc2", "functional": "PBE", "state": "relaxed", "spacegroup": "Cmcm", "vol_a3_per_cell": 392, "formation_enthalpy_0k_kcal_per_mol_atoms": 5.62, "lattice_angstrom": [[7.098, -5.199, 0.000], [7.098, 5.199, 0.000], [0.000, 0.000, 5.306]], "species": ["La", "La", "La", "La", "La", "La", "Dy", "Dy", "Sc", "Sc", "Sc", "Sc"], "fractional_positions": [[0.065, 0.935, 0.750], [0.088, 0.358, 0.250], [0.358, 0.088, 0.750], [0.642, 0.912, 0.250], [0.912, 0.642, 0.750], [0.935, 0.065, 0.250], [0.285, 0.715, 0.250], [0.715, 0.285, 0.750], [0.311, 0.473, 0.750], [0.473, 0.311, 0.250], [0.527, 0.689, 0.750], [0.689, 0.527, 0.250]]}



No. 2
{"formula": "La3Dy6Sc", "functional": "PBE", "state": "relaxed", "spacegroup": "R3", "vol_a3_per_cell": 326, "formation_enthalpy_0k_kcal_per_mol_atoms": 5.89, "lattice_angstrom": [[4.945, 2.855, 3.847], [-4.945, 2.855, 3.847], [0.000, -5.710, 3.847]], "species": ["La", "La", "La", "Dy", "Dy", "Dy", "Dy", "Dy", "Dy", "Sc"], "fractional_positions": [[0.000, 0.000, 0.000], [0.252, 0.252, 0.252], [0.504, 0.504, 0.504], [0.166, 0.509, 0.825], [0.336, 0.994, 0.677], [0.509, 0.825, 0.166], [0.677, 0.336, 0.994], [0.825, 0.166, 0.509], [0.994, 0.677, 0.336], [0.752, 0.752, 0.752]]}



No. 3
{"formula": "La15Dy4Sc", "functional": "PBE", "state": "relaxed", "spacegroup": "P4/mmm", "vol_a3_per_cell": 698, "formation_enthalpy_0k_kcal_per_mol_atoms": 0.31, "lattice_angstrom": [[5.187, 0.000, 0.000], [0.000, 5.187, 0.000], [0.000, 0.000, 25.943]], "species": ["La", "La", "La", "La", "La", "La", "La", "La", "La", "La", "La", "La", "La", "La", "La", "Dy", "Dy", "Dy", "Dy", "Sc"], "fractional_positions": [[0.000, 0.000, 0.000], [0.000, 0.000, 0.199], [0.000, 0.000, 0.400], [0.000, 0.000, 0.600], [0.000, 0.000, 0.801], [0.000, 0.500, 0.097], [0.000, 0.500, 0.299], [0.000, 0.500, 0.500], [0.000, 0.500, 0.701], [0.000, 0.500, 0.903], [0.500, 0.000, 0.097], [0.500, 0.000, 0.299], [0.500, 0.000, 0.500], [0.500, 0.000, 0.701], [0.500, 0.000, 0.903], [0.500, 0.500, 0.198], [0.500, 0.500, 0.399], [0.500, 0.500, 0.601], [0.500, 0.500, 0.802], [0.500, 0.500, 0.000]]}



No. 4
{"formula": "La8Dy4Sc", "functional": "PBE", "state": "relaxed", "spacegroup": "R-3m", "vol_a3_per_cell": 495, "formation_enthalpy_0k_kcal_per_mol_atoms": 9.95, "lattice_angstrom": [[5.627, 3.249, 4.517], [-5.627, 3.249, 4.517], [0.000, -6.497, 4.517]], "species": ["La", "La", "La", "La", "La", "La", "La", "La", "Dy", "Dy", "Dy", "Dy", "Sc"], "fractional_positions": [[0.240, 0.240, 0.240], [0.240, 0.240, 0.753], [0.240, 0.753, 0.240], [0.247, 0.760, 0.760], [0.753, 0.240, 0.240], [0.760, 0.247, 0.760], [0.760, 0.760, 0.247], [0.760, 0.760, 0.760], [0.000, 0.000, 0.000], [0.000, 0.500, 0.500], [0.500, 0.000, 0.500], [0.500, 0.500, 0.000], [0.500, 0.500, 0.500]]}



No. 5
{"formula": "La8DySc2", "functional": "PBE", "state": "relaxed", "spacegroup": "C2/m", "vol_a3_per_cell": 372, "formation_enthalpy_0k_kcal_per_mol_atoms": 1.03, "lattice_angstrom": [[9.177, -2.584, 0.000], [9.177, 2.584, 0.000], [-2.252, 0.000, 7.836]], "species": ["La", "La", "La", "La", "La", "La", "La", "La", "Dy", "Sc", "Sc"], "fractional_positions": [[0.049, 0.049, 0.227], [0.141, 0.141, 0.696], [0.317, 0.317, 0.584], [0.404, 0.404, 0.042], [0.596, 0.596, 0.958], [0.683, 0.683, 0.416], [0.859, 0.859, 0.304], [0.951, 0.951, 0.773], [0.500, 0.500, 0.500], [0.227, 0.227, 0.132], [0.773, 0.773, 0.868]]}



No. 6
{"formula": "LaDySc6", "functional": "PBE", "state": "relaxed", "spacegroup": "P-6m2", "vol_a3_per_cell": 215, "formation_enthalpy_0k_kcal_per_mol_atoms": 0.97, "lattice_angstrom": [[6.805, 0.000, 0.000], [-3.403, 5.894, 0.000], [0.000, 0.000, 5.355]], "species": ["La", "Dy", "Sc", "Sc", "Sc", "Sc", "Sc", "Sc"], "fractional_positions": [[0.000, 0.000, 0.000], [0.667, 0.333, 0.500], [0.008, 0.504, 0.000], [0.171, 0.342, 0.500], [0.171, 0.829, 0.500], [0.496, 0.504, 0.000], [0.496, 0.992, 0.000], [0.658, 0.829, 0.500]]}